No. 1
Material: Pr5Ho4Cd
Method: DFT, PBE
State: optimized geometry

**DOS(E_F)**: 13.75 states/eV per cell
**Electronic total energy**: -4.35 eV/atom
**Energy of formation**: -41 meV per atom

The structure in POSCAR format:
```
Pr5Ho4Cd
1.0
3.658 0.000 0.000
0.000 3.658 0.000
0.000 0.000 24.485
Pr Ho Cd
5 4 1
direct
0.000 0.000 0.000
0.000 0.000 0.205
0.000 0.000 0.412
0.000 0.000 0.588
0.000 0.000 0.795
0.500 0.500 0.103
0.500 0.500 0.308
0.500 0.500 0.692
0.500 0.500 0.897
0.500 0.500 0.500
```



No. 2
Material: LiLaYBi
Method: DFT, PBE
State: optimized geometry

**DOS(E_F)**: 19.69 states/eV per cell
**Electronic total energy**: -4.67 eV/atom
**Energy of formation**: -373 meV per atom

The structure in POSCAR format:
```
LiLaYBi
1.0
7.700 0.000 0.000
0.000 7.700 0.000
0.000 0.000 7.700
Li La Y Bi
4 4 4 4
direct
0.000 0.000 0.000
0.000 0.500 0.500
0.500 0.000 0.500
0.500 0.500 0.000
0.250 0.250 0.750
0.250 0.750 0.250
0.750 0.250 0.250
0.750 0.750 0.750
0.250 0.250 0.250
0.250 0.750 0.750
0.750 0.250 0.750
0.750 0.750 0.250
0.000 0.000 0.500
0.000 0.500 0.000
0.500 0.000 0.000
0.500 0.500 0.500
```



No. 3
Material: Sr2FeS
Method: DFT, PBE
State: optimized geometry

**DOS(E_F)**: 22.83 states/eV per cell
**Electronic total energy**: -4.18 eV/atom
**Formation energy without anion corrections**: -0.1920 eV/atom
**Energy above the lowest structure with this stoichiometry**: 0.0 meV/atom

The structure in POSCAR format:
```
Sr2FeS
1.0
7.457 0.000 0.000
0.000 7.457 0.000
0.000 0.000 7.457
Sr Fe S
8 4 4
direct
0.250 0.250 0.250
0.250 0.250 0.750
0.250 0.750 0.250
0.250 0.750 0.750
0.750 0.250 0.250
0.750 0.250 0.750
0.750 0.750 0.250
0.750 0.750 0.750
0.000 0.000 0.000
0.000 0.500 0.500
0.500 0.000 0.500
0.500 0.500 0.000
0.000 0.000 0.500
0.000 0.500 0.000
0.500 0.000 0.000
0.500 0.500 0.500
```



No. 4
Material: AcDy2Pb
Method: DFT, PBE
State: optimized geometry

**DOS(E_F)**: 6.24 states/eV per cell
**Electronic total energy**: -4.44 eV/atom
**Energy above the lowest structure with this stoichiometry**: 38.4 meV/atom
**Energy of formation**: -181 meV per atom

The structure in POSCAR format:
```
AcDy2Pb
1.0
3.915 0.000 0.000
0.000 3.915 0.000
0.000 0.000 8.601
Ac Dy Pb
1 2 1
direct
0.000 0.000 0.000
0.500 0.500 0.291
0.500 0.500 0.709
0.000 0.000 0.500
```



No. 5
Material: KSrGa2Cl8
Method: DFT, PBE
State: optimized geometry

**DOS(E_F)**: 6.43 states/eV per cell
**Electronic total energy**: -3.42 eV/atom
**Formation energy without anion corrections**: -1.4578 eV/atom

The structure in POSCAR format:
```
KSrGa2Cl8
1.0
3.386 1.955 9.489
-3.386 1.955 9.489
0.000 -3.910 9.489
K Sr Ga Cl
1 1 2 8
direct
0.000 0.000 0.000
0.500 0.500 0.500
0.252 0.252 0.252
0.748 0.748 0.748
0.091 0.432 0.795
0.205 0.909 0.568
0.331 0.331 0.331
0.432 0.795 0.091
0.568 0.205 0.909
0.669 0.669 0.669
0.795 0.091 0.432
0.909 0.568 0.205
```



No. 6
Material: Tm2PaCu
Method: DFT, PBE
State: optimized geometry

**DOS(E_F)**: 6.49 states/eV per cell
**Electronic total energy**: -5.65 eV/atom
**Energy above the lowest structure with this stoichiometry**: 0.0 meV/atom
**Energy of formation**: -18 meV per atom

The structure in POSCAR format:
```
Tm2PaCu
1.0
3.395 0.000 0.000
0.000 3.395 0.000
0.000 0.000 8.143
Tm Pa Cu
2 1 1
direct
0.000 0.000 0.211
0.000 0.000 0.789
0.500 0.500 0.500
0.500 0.500 0.000
```